## MgAlCl3 (GGA-PBEsol)

Data for a relaxed structure of MgAlCl3.

Properties
Symmetry = Pm-3m
Uncorrected energy = -3.15 eV per atom
Spin magnetization = 0.095 μB per atom
Density = 2.30 g/cm³

a b c (Å): 4.843 4.843 4.843
angles (deg): 90.00 90.00 90.00
Fractional coordinates of all 5 atoms:
Mg 0.000 0.000 0.000
Al 0.500 0.500 0.500
Cl 0.000 0.500 0.500
Cl 0.500 0.000 0.500
Cl 0.500 0.500 0.000

---

## MgAlCl2 (GGA-PBEsol)

Data for a relaxed structure of MgAlCl2.

Properties
Symmetry = R-3m
Uncorrected energy = -3.40 eV per atom
Spin magnetization = 0.000 μB per atom
Density = 1.99 g/cm³

a b c (Å): 10.296 10.296 10.296
angles (deg): 19.09 19.09 19.09
Fractional coordinates of all 4 atoms:
Mg 0.000 0.000 0.000
Al 0.500 0.500 0.500
Cl 0.285 0.285 0.285
Cl 0.715 0.715 0.715

---

## MgAl2Cl (GGA-PBEsol)

Data for a relaxed structure of MgAl2Cl.

Properties
Polymorph energy (0 for the lowest one) = 0.0000 eV/atom
Symmetry = P4/mmm
Uncorrected energy = -3.10 eV per atom
Spin magnetization = 0.000 μB per atom
Density = 2.27 g/cm³

a b c (Å): 3.749 3.749 5.929
angles (deg): 90.00 90.00 90.00
Fractional coordinates of all 4 atoms:
Mg 0.000 0.000 0.000
Al 0.000 0.500 0.500
Al 0.500 0.000 0.500
Cl 0.500 0.500 0.000

---

## MgAl2Cl8 (GGA-PBEsol)

Data for a relaxed structure of MgAl2Cl8.

Properties
Symmetry = C2/c
Uncorrected energy = -3.95 eV per atom
Spin magnetization = 0.000 μB per atom
Density = 1.93 g/cm³

a b c (Å): 9.453 9.453 11.547
angles (deg): 124.85 124.85 51.48
Fractional coordinates of all 22 atoms:
Mg 0.002 0.998 0.750
Mg 0.998 0.002 0.250
Al 0.161 0.670 0.468
Al 0.330 0.839 0.032
Al 0.670 0.161 0.968
Al 0.839 0.330 0.532
Cl 0.123 0.186 0.518
Cl 0.137 0.690 0.278
Cl 0.149 0.714 0.821
Cl 0.186 0.123 0.018
Cl 0.286 0.851 0.679
Cl 0.310 0.863 0.222
Cl 0.312 0.382 0.451
Cl 0.382 0.312 0.951
Cl 0.618 0.688 0.049
Cl 0.688 0.618 0.549
Cl 0.690 0.137 0.778
Cl 0.714 0.149 0.321
Cl 0.814 0.877 0.982
Cl 0.851 0.286 0.179
Cl 0.863 0.310 0.722
Cl 0.877 0.814 0.482

---

## Mn2AlCl (GGA-PBEsol)

Data for a relaxed structure of Mn2AlCl.

Properties
Symmetry = P4/mmm
Uncorrected energy = -6.29 eV per atom
Spin magnetization = 1.637 μB per atom
Density = 4.95 g/cm³

a b c (Å): 2.855 2.855 7.086
angles (deg): 90.00 90.00 90.00
Fractional coordinates of all 4 atoms:
Mn 0.000 0.000 0.242
Mn 0.000 0.000 0.758
Al 0.500 0.500 0.000
Cl 0.500 0.500 0.500

---

## MnAl2Cl (GGA-PBEsol)

Data for a relaxed structure of MnAl2Cl.

Properties
Polymorph energy (0 for the lowest one) = 0.1810 eV/atom
Symmetry = C2/m
Uncorrected energy = -4.84 eV per atom
Spin magnetization = 0.880 μB per atom
Density = 3.58 g/cm³

a b c (Å): 5.431 5.431 4.413
angles (deg): 95.22 95.22 31.08
Fractional coordinates of all 4 atoms:
Mn 0.000 0.000 0.000
Al 0.286 0.286 0.762
Al 0.714 0.714 0.238
Cl 0.500 0.500 0.500

---

density of number 5 (Mn2AlCl)?
4.95 g/cm³